No. 1
! Al2Co (meta-GGA SCAN, single point on PBEsol structure); values from VASP
! Space-group type: P-3m1, No. 164
! E_tot, eV per atom: -11.142
! D(E_F), states/eV per atom: 0.452
&SYSTEM
  ibrav = 0, nat = 3, ntyp = 2
/
ATOMIC_SPECIES
Al 26.98 Al.upf
Co 58.93 Co.upf
ATOMIC_POSITIONS angstrom
Al 0.000 1.593 1.832
Al 1.380 0.797 4.224
Co 0.000 0.000 0.000
CELL_PARAMETERS angstrom
2.759 0.000 0.000
-1.380 2.390 0.000
0.000 0.000 6.055



No. 2
! AlCo5 (meta-GGA SCAN, single point on PBEsol structure); values from VASP
! ΔE to the lowest computed polymorph, meV per atom: 90
! Space-group type: Amm2, No. 38
! E_tot, eV per atom: -15.772
! D(E_F), states/eV per atom: 0.784
&SYSTEM
  ibrav = 0, nat = 6, ntyp = 2
/
ATOMIC_SPECIES
Al 26.98 Al.upf
Co 58.93 Co.upf
ATOMIC_POSITIONS angstrom
Al 0.000 0.000 0.000
Co 0.000 0.000 4.148
Co 0.000 0.000 8.463
Co 1.991 0.000 2.719
Co 1.991 0.000 6.977
Co 1.991 0.000 11.134
CELL_PARAMETERS angstrom
3.982 0.000 0.000
0.000 1.277 6.328
0.000 -1.277 6.328



No. 3
! Al19Co6 (meta-GGA SCAN, single point on PBEsol structure); values from VASP
! Space-group type: C2/m, No. 12
! E_tot, eV per atom: -10.428
! D(E_F), states/eV per atom: 0.258
&SYSTEM
  ibrav = 0, nat = 50, ntyp = 2
/
ATOMIC_SPECIES
Al 26.98 Al.upf
Co 58.93 Co.upf
ATOMIC_POSITIONS angstrom
Al 1.281 2.232 10.382
Al 2.249 2.232 7.783
Al 0.324 0.000 2.030
Al -1.083 0.000 6.791
Al -1.703 0.000 9.197
Al 5.143 1.729 1.289
Al 3.735 1.559 5.579
Al 1.483 0.000 6.079
Al -0.145 0.000 11.437
Al 7.508 2.018 0.000
Al 6.108 1.774 3.876
Al 1.349 0.000 8.931
Al 5.014 1.774 7.841
Al 3.739 0.000 3.181
Al 8.873 2.232 3.934
Al 9.841 2.232 1.335
Al 5.979 1.729 10.428
Al 7.387 1.559 6.139
Al 3.858 0.000 9.743
Al 7.263 0.000 1.974
Al 3.735 -1.559 5.579
Al 5.143 -1.729 1.289
Al 1.281 -2.232 10.382
Al 2.249 -2.232 7.783
Al 7.382 0.000 8.536
Al 6.108 -1.774 3.876
Al 9.773 0.000 2.787
Al 5.014 -1.774 7.841
Al 7.508 -2.018 0.000
Al 11.267 0.000 0.280
Al 9.638 0.000 5.638
Al 7.387 -1.559 6.139
Al 5.979 -1.729 10.428
Al 12.824 0.000 2.520
Al 12.205 0.000 4.926
Al 10.798 0.000 9.687
Al 8.873 -2.232 3.934
Al 9.841 -2.232 1.335
Co 3.795 2.226 3.285
Co -0.276 0.000 4.452
Co -2.469 0.000 11.530
Co 3.413 0.000 7.399
Co 7.326 2.226 8.432
Co 2.176 0.000 11.525
Co 8.946 0.000 0.192
Co 3.795 -2.226 3.285
Co 7.709 0.000 4.319
Co 13.591 0.000 0.187
Co 11.397 0.000 7.266
Co 7.326 -2.226 8.432
CELL_PARAMETERS angstrom
7.508 -4.027 0.000
7.508 4.027 0.000
-3.894 0.000 11.717



No. 4
! AlCo (meta-GGA SCAN, single point on PBEsol structure); values from VASP
! Space-group type: P6_3/mmc, No. 194
! E_tot, eV per atom: -12.522
! D(E_F), states/eV per atom: 0.623
&SYSTEM
  ibrav = 0, nat = 4, ntyp = 2
/
ATOMIC_SPECIES
Al 26.98 Al.upf
Co 58.93 Co.upf
ATOMIC_POSITIONS angstrom
Al 0.000 2.153 1.149
Al 1.864 1.076 3.448
Co 0.000 0.000 0.000
Co 0.000 0.000 2.299
CELL_PARAMETERS angstrom
3.728 0.000 0.000
-1.864 3.229 0.000
0.000 0.000 4.598



No. 5
! AlCo (meta-GGA SCAN, single point on PBEsol structure); values from VASP
! Space-group type: F-43m, No. 216
! E_tot, eV per atom: -11.373
! D(E_F), states/eV per atom: 1.626
&SYSTEM
  ibrav = 0, nat = 2, ntyp = 2
/
ATOMIC_SPECIES
Al 26.98 Al.upf
Co 58.93 Co.upf
ATOMIC_POSITIONS angstrom
Al 0.000 0.000 0.000
Co 1.312 1.312 1.312
CELL_PARAMETERS angstrom
0.000 2.625 2.625
2.625 0.000 2.625
2.625 2.625 0.000



No. 6
! AlCo5 (meta-GGA SCAN, single point on PBEsol structure); values from VASP
! ΔE to the lowest computed polymorph, meV per atom: 96
! Space-group type: Cm, No. 8
! E_tot, eV per atom: -15.765
! D(E_F), states/eV per atom: 0.850
&SYSTEM
  ibrav = 0, nat = 6, ntyp = 2
/
ATOMIC_SPECIES
Al 26.98 Al.upf
Co 58.93 Co.upf
ATOMIC_POSITIONS angstrom
Al 0.000 0.000 0.000
Co -0.499 0.000 3.302
Co 1.924 0.000 3.639
Co 2.984 0.000 1.500
Co 5.499 0.000 1.857
Co 5.069 0.000 5.146
CELL_PARAMETERS angstrom
4.531 -1.270 0.000
4.531 1.270 0.000
-1.552 0.000 5.571